A plane-wave DFT calculation with PBE with a Hubbard U was carried out for crystalline CrSeNF2 at its relaxed geometry.

```
CrSeNF2
1.0
3.812 0.000 0.000
0.000 3.812 0.000
0.000 0.000 4.405
Cr Se N F
1 1 1 2
Direct
0.000 0.000 0.000
0.500 0.500 0.500
0.000 0.000 0.500
0.000 0.500 0.000
0.500 0.000 0.000
```

Calculated values
energy above the lowest structure with this stoichiometry	0.000	eV per atom
uncorrected energy	-5.170	eV per atom